This record from Alexandria via LeMat-Bulk describes Si3AsH27C9 after structural relaxation. The functional is PBEsol.

CIF file:
```
data_Si3AsH27C9
_chemical_formula_sum 'Si12 As4 H108 C36'
_cell_length_a 9.928
_cell_length_b 15.319
_cell_length_c 12.378
_cell_angle_alpha 90.00
_cell_angle_beta 114.47
_cell_angle_gamma 90.00
_space_group_name_H-M_alt 'P 1 21/c 1'
_space_group_IT_number 14
_space_group_name_Hall '-P 2ybc'
loop_
_atom_site_label
_atom_site_fract_x
_atom_site_fract_y
_atom_site_fract_z
_atom_site_occupancy
Si1 0.018 0.208 0.470 1
Si2 0.292 0.114 0.063 1
Si3 0.414 0.158 0.600 1
As1 0.241 0.249 0.959 1
H1 0.016 0.059 0.385 1
H2 0.069 0.039 0.913 1
H3 0.073 0.637 0.230 1
H4 0.075 0.642 0.521 1
H5 0.081 0.220 0.689 1
H6 0.082 0.656 0.889 1
H7 0.097 0.110 0.648 1
H8 0.116 0.109 0.161 1
H9 0.125 0.675 0.670 1
H10 0.167 0.595 0.144 1
H11 0.215 0.537 0.489 1
H12 0.222 0.031 0.874 1
H13 0.224 0.717 0.589 1
H14 0.245 0.030 0.574 1
H15 0.272 0.040 0.233 1
H16 0.288 0.155 0.259 1
H17 0.322 0.029 0.467 1
H18 0.324 0.625 0.860 1
H19 0.353 0.174 0.777 1
H20 0.364 0.737 0.899 1
H21 0.426 0.655 0.011 1
H22 0.431 0.504 0.116 1
H23 0.437 0.639 0.312 1
H24 0.466 0.630 0.683 1
H25 0.468 0.599 0.456 1
H26 0.478 0.526 0.347 1
H27 0.499 0.744 0.711 1
C1 0.031 0.171 0.618 1
C2 0.058 0.616 0.140 1
C3 0.113 0.697 0.582 1
C4 0.190 0.029 0.949 1
C5 0.237 0.105 0.190 1
C6 0.346 0.043 0.560 1
C7 0.409 0.670 0.919 1
C8 0.453 0.179 0.760 1
C9 0.496 0.093 0.117 1
```

Calculated values
The calculation puts the volume at 428 Å³/f.u. The total energy is -5.14 eV per atom. The calculation puts the calculated density at 1.14 g/cm³.

---

This record from Alexandria via LeMat-Bulk describes TaSiW after structural relaxation. The functional is PBEsol.

CIF file:
```
data_TaSiW
_chemical_formula_sum 'Ta4 Si4 W4'
_cell_length_a 6.043
_cell_length_b 6.043
_cell_length_c 6.043
_cell_angle_alpha 90.00
_cell_angle_beta 90.00
_cell_angle_gamma 90.00
_space_group_name_H-M_alt 'F -4 3 m'
_space_group_IT_number 216
_space_group_name_Hall 'F -4 2 3'
loop_
_atom_site_label
_atom_site_fract_x
_atom_site_fract_y
_atom_site_fract_z
_atom_site_occupancy
Ta1 0.000 0.000 0.000 1
Si1 0.000 0.000 0.500 1
W1 0.250 0.250 0.250 1
```

Calculated values
The calculation puts the volume at 55 Å³/f.u. The value obtained for the uncorrected formation energy is 0.636 eV/atom. The calculation puts the calculated density at 11.83 g/cm³.

---

This record from Alexandria via LeMat-Bulk describes Li3CaLa after structural relaxation. The functional is PBEsol.

CIF file:
```
data_Li3CaLa
_chemical_formula_sum 'Li3 Ca1 La1'
_cell_length_a 5.366
_cell_length_b 5.366
_cell_length_c 5.366
_cell_angle_alpha 90.00
_cell_angle_beta 90.00
_cell_angle_gamma 90.00
_space_group_name_H-M_alt 'P m -3 m'
_space_group_IT_number 221
_space_group_name_Hall '-P 4 2 3'
loop_
_atom_site_label
_atom_site_fract_x
_atom_site_fract_y
_atom_site_fract_z
_atom_site_occupancy
Li1 0.000 0.000 0.500 1
Ca1 0.000 0.000 0.000 1
La1 0.500 0.500 0.500 1
```

Calculated values
The calculation puts the volume at 154 Å³/f.u. As for the formation energy: 602 meV/atom. The calculation puts the calculated density at 2.15 g/cm³.

---

This record from Alexandria via LeMat-Bulk describes Mg2AlAg after structural relaxation. The functional is PBEsol.

CIF file:
```
data_Mg2AlAg
_chemical_formula_sum 'Mg2 Al1 Ag1'
_cell_length_a 3.351
_cell_length_b 3.351
_cell_length_c 6.686
_cell_angle_alpha 90.00
_cell_angle_beta 90.00
_cell_angle_gamma 90.00
_space_group_name_H-M_alt 'P 4 m m'
_space_group_IT_number 99
_space_group_name_Hall 'P 4 -2'
loop_
_atom_site_label
_atom_site_fract_x
_atom_site_fract_y
_atom_site_fract_z
_atom_site_occupancy
Mg1 0.000 0.000 0.000 1
Mg2 0.500 0.500 0.291 1
Al1 0.500 0.500 0.744 1
Ag1 0.000 0.000 0.534 1
```

Calculated values
The calculation puts the volume at 75 Å³/f.u. As for the formation energy: -39 meV/atom. The calculation puts the calculated density at 4.06 g/cm³.

---

This record from Alexandria via LeMat-Bulk describes ZrMnGe2 after structural relaxation. The functional is PBEsol.

CIF file:
```
data_ZrMnGe2
_chemical_formula_sum 'Zr12 Mn12 Ge24'
_cell_length_a 9.136
_cell_length_b 10.037
_cell_length_c 7.985
_cell_angle_alpha 90.00
_cell_angle_beta 90.00
_cell_angle_gamma 90.00
_space_group_name_H-M_alt 'P b a m'
_space_group_IT_number 55
_space_group_name_Hall '-P 2 2ab'
loop_
_atom_site_label
_atom_site_fract_x
_atom_site_fract_y
_atom_site_fract_z
_atom_site_occupancy
Zr1 0.165 0.179 0.000 1
Zr2 0.173 0.452 0.245 1
Mn1 0.000 0.000 0.246 1
Mn2 0.085 0.752 0.250 1
Ge1 0.040 0.623 0.500 1
Ge2 0.041 0.621 0.000 1
Ge3 0.122 0.900 0.500 1
Ge4 0.129 0.896 0.000 1
Ge5 0.166 0.181 0.343 1
```

Calculated values
The calculation puts the volume at 61 Å³/f.u. As for the formation energy: -590 meV/atom. The calculation puts the calculated density at 7.93 g/cm³.

---

This record from Alexandria via LeMat-Bulk describes NaIO2F after structural relaxation. The functional is PBEsol.

CIF file:
```
data_NaIO2F
_chemical_formula_sum 'Na1 I1 O2 F1'
_cell_length_a 4.148
_cell_length_b 4.148
_cell_length_c 6.185
_cell_angle_alpha 90.00
_cell_angle_beta 90.00
_cell_angle_gamma 90.00
_space_group_name_H-M_alt 'P 4/m m m'
_space_group_IT_number 123
_space_group_name_Hall '-P 4 2'
loop_
_atom_site_label
_atom_site_fract_x
_atom_site_fract_y
_atom_site_fract_z
_atom_site_occupancy
Na1 0.000 0.000 0.000 1
I1 0.000 0.000 0.500 1
O1 0.000 0.500 0.000 1
F1 0.500 0.500 0.500 1
```

Calculated values
The calculation puts the volume at 106 Å³/f.u. The value obtained for the uncorrected formation energy is 0.513 eV/atom. The calculation puts the calculated density at 3.13 g/cm³.

---

This record from Alexandria via LeMat-Bulk describes BeZn2CrIn after structural relaxation. The functional is PBEsol.

CIF file:
```
data_BeZn2CrIn
_chemical_formula_sum 'Be1 Zn2 Cr1 In1'
_cell_length_a 4.951
_cell_length_b 4.951
_cell_length_c 4.471
_cell_angle_alpha 90.00
_cell_angle_beta 90.00
_cell_angle_gamma 90.00
_space_group_name_H-M_alt 'P 4/m m m'
_space_group_IT_number 123
_space_group_name_Hall '-P 4 2'
loop_
_atom_site_label
_atom_site_fract_x
_atom_site_fract_y
_atom_site_fract_z
_atom_site_occupancy
Be1 0.000 0.000 0.000 1
Zn1 0.000 0.500 0.500 1
Cr1 0.500 0.500 0.000 1
In1 0.000 0.000 0.500 1
```

Calculated values
The calculation puts the volume at 110 Å³/f.u. As for the formation energy: 1220 meV/atom. The calculation puts the calculated density at 4.65 g/cm³.

---

This record from Alexandria via LeMat-Bulk describes TeMo3O after structural relaxation. The functional is PBEsol.

CIF file:
```
data_TeMo3O
_chemical_formula_sum 'Te1 Mo3 O1'
_cell_length_a 4.160
_cell_length_b 4.160
_cell_length_c 4.160
_cell_angle_alpha 90.00
_cell_angle_beta 90.00
_cell_angle_gamma 90.00
_space_group_name_H-M_alt 'P m -3 m'
_space_group_IT_number 221
_space_group_name_Hall '-P 4 2 3'
loop_
_atom_site_label
_atom_site_fract_x
_atom_site_fract_y
_atom_site_fract_z
_atom_site_occupancy
Te1 0.000 0.000 0.000 1
Mo1 0.000 0.500 0.500 1
O1 0.500 0.500 0.500 1
```

Calculated values
The calculation puts the volume at 72 Å³/f.u. The value obtained for the uncorrected formation energy is 0.033 eV/atom. The calculation puts the calculated density at 9.95 g/cm³.

---

Number 1: Fermi-level density of states 0.00 states/eV/f.u.. Number 2: Fermi-level density of states 4.81 states/eV/f.u.. Number 3: Fermi-level density of states 7.79 states/eV/f.u.. Number 4: Fermi-level density of states 1.33 states/eV/f.u.. Number 5: Fermi-level density of states 2.19 states/eV/f.u.. Number 6: Fermi-level density of states 5.68 states/eV/f.u.. Number 7: Fermi-level density of states 1.87 states/eV/f.u.. Number 8: Fermi-level density of states 7.24 states/eV/f.u..